# BaHg2Se SCAN PBEsol geometry
# Size of the total moment, μB per formula unit: 0.00
# Energy relative to the elements, uncorrected, meV/atom: -952
# Uncorrected energy, eV per cell: -599.31
data_BaHg2Se
_cell_length_a 5.0717
_cell_length_b 5.0717
_cell_length_c 15.7546
_cell_angle_alpha 90.00
_cell_angle_beta 90.00
_cell_angle_gamma 120.00
_symmetry_space_group_name_H-M 'R 3 m'
_symmetry_Int_Tables_number 160
_symmetry_space_group_name_Hall 'R 3 -2"'
loop_
_atom_site_label
_atom_site_type_symbol
_atom_site_fract_x
_atom_site_fract_y
_atom_site_fract_z
_atom_site_occupancy
Ba1 Ba 0.0000 0.0000 0.0000 1
Hg1 Hg 0.0000 0.0000 0.4837 1
Hg2 Hg 0.0000 0.0000 0.7725 1
Se1 Se 0.0000 0.0000 0.2368 1